Here is a relaxed CaVS3 crystal from the Alexandria database. Energies are from PBE.

Summary:
ΔE_f (raw) = 0.376 eV per atom
Volume = 135.8 Å³ per cell
DOS at the Fermi energy = 7.69 states/eV/cell
Energy relative to the lowest polymorph listed for this composition = 134.9 kJ/mol of atoms
ρ = 2.289 g cm⁻³
Magnetization = 1.1 μB per formula unit

Unit cell a=5.140 b=5.140 c=5.140 alpha=90.00 beta=90.00 gamma=90.00
Space group Pm-3m (No. 221)
Asymmetric unit:
Ca: 0.000 0.000 0.000 [1 per cell]
V: 0.500 0.500 0.500 [1 per cell]
S: 0.000 0.000 0.500 [3 per cell]